# LuSiSb

Crystalline LuSiSb at its relaxed geometry (PBE-GGA, OQMD via LeMat-Bulk).

Output
* E_tot: -4.743 eV per atom
* total magnetization: 0.001 μB per cell

Lattice parameters (Å, degrees): 4.775 4.775 4.775 60.00 60.00 60.00
Fractional positions:
Lu 0.250 0.250 0.250
Sb 0.750 0.750 0.750
Si 0.000 0.000 0.000